No. 1
VASP calculation (PBE) on a geometry-optimized TaTeAuO2 structure.

Calculated values
Total DFT energy (no corrections), eV per cell: -24.96

The structure in POSCAR format:
```
TaTeAuO2
1.0
4.019 0.000 0.000
0.000 5.573 0.000
0.000 0.000 4.019
Au Ta O Te
1 1 2 1
Direct
0.000 0.000 0.000
0.000 0.500 0.000
0.500 0.000 0.000
0.000 0.000 0.500
0.500 0.500 0.500
```



No. 2
VASP calculation (PBE) on a geometry-optimized TaTe2AuO8 structure.

Calculated values
Total DFT energy (no corrections), eV per cell: -74.54

The structure in POSCAR format:
```
TaTe2AuO8
1.0
-2.987 3.435 3.546
1.597 -0.419 6.445
3.780 3.732 4.263
Te O Ta Au
2 8 1 1
Direct
0.721 0.790 0.768
0.279 0.210 0.232
0.359 0.065 0.735
0.641 0.935 0.265
0.112 0.597 0.178
0.665 0.496 0.174
0.840 0.065 0.735
0.888 0.403 0.822
0.160 0.935 0.265
0.335 0.504 0.826
0.000 0.000 0.000
0.500 0.500 0.500
```



No. 3
VASP calculation (PBE) on a geometry-optimized TaTi2AuO structure.

Calculated values
Total DFT energy (no corrections), eV per cell: -41.03

The structure in POSCAR format:
```
TaTi2AuO
1.0
4.154 0.000 0.000
0.000 4.154 0.000
0.000 0.000 4.221
Au Ti Ta O
1 2 1 1
Direct
0.500 0.500 0.500
0.500 0.000 0.000
0.000 0.500 0.000
0.000 0.000 0.500
0.000 0.000 0.000
```



No. 4
VASP calculation (PBE) on a geometry-optimized Tb2AuO structure.

Calculated values
Total DFT energy (no corrections), eV per cell: -22.23

The structure in POSCAR format:
```
Tb2AuO
1.0
3.493 0.000 0.000
1.746 3.025 0.000
1.746 1.008 8.338
Tb O Au
2 1 1
Direct
0.113 0.113 0.661
0.887 0.887 0.339
0.500 0.500 0.500
0.000 0.000 0.000
```



No. 5
VASP calculation (PBE) on a geometry-optimized Tb4Au2O structure.

Calculated values
Total DFT energy (no corrections), eV per cell: -78.45
ΔE to the lowest computed polymorph, meV/atom: 0

The structure in POSCAR format:
```
Tb4Au2O
1.0
6.822 0.000 0.183
0.000 6.975 0.000
-2.300 0.000 7.305
O Tb Au
2 8 4
Direct
0.267 0.750 0.195
0.733 0.250 0.805
0.494 0.508 0.250
0.506 0.008 0.750
0.494 0.992 0.250
0.930 0.250 0.617
0.091 0.750 0.906
0.909 0.250 0.094
0.506 0.492 0.750
0.070 0.750 0.383
0.740 0.750 0.567
0.273 0.250 0.951
0.260 0.250 0.433
0.727 0.750 0.049
```



No. 6
VASP calculation (PBE) on a geometry-optimized Tb4Au2O structure.

Calculated values
Total DFT energy (no corrections), eV per cell: -39.13
ΔE to the lowest computed polymorph, meV/atom: 13

The structure in POSCAR format:
```
Tb4Au2O
1.0
-2.467 -0.036 -3.990
2.835 -3.317 -1.722
-4.626 -3.570 5.650
Au Tb O
2 4 1
Direct
0.370 0.370 0.741
0.630 0.630 0.259
0.819 0.819 0.638
0.000 0.500 0.000
0.500 0.000 0.000
0.181 0.181 0.362
0.000 0.000 0.000
```



No. 7
VASP calculation (PBE) on a geometry-optimized TbAuO3 structure.

Calculated values
Total DFT energy (no corrections), eV per cell: -128.33

The structure in POSCAR format:
```
TbAuO3
1.0
-2.803 2.068 1.655
-1.793 -4.579 2.685
7.869 2.732 9.912
Tb O Au
4 12 4
Direct
0.261 0.250 0.425
0.261 0.750 0.075
0.739 0.250 0.925
0.739 0.750 0.575
0.798 0.500 0.750
0.202 0.000 0.250
0.257 0.499 0.925
0.798 0.000 0.750
0.743 0.499 0.425
0.257 0.501 0.575
0.257 0.001 0.925
0.202 0.500 0.250
0.743 0.999 0.075
0.743 0.501 0.075
0.257 0.999 0.575
0.743 0.001 0.425
0.938 0.750 0.331
0.938 0.250 0.169
0.062 0.750 0.831
0.062 0.250 0.669
```



No. 8
VASP calculation (PBE) on a geometry-optimized TbAuO structure.

Calculated values
Total DFT energy (no corrections), eV per cell: -36.53
ΔE to the lowest computed polymorph, meV/atom: 456

The structure in POSCAR format:
```
TbAuO
1.0
-3.384 -0.345 -1.438
0.927 -3.293 -1.390
-1.242 -1.686 8.068
Tb O Au
2 2 2
Direct
0.089 0.089 0.178
0.911 0.911 0.822
0.500 0.000 0.000
0.000 0.500 0.000
0.293 0.293 0.585
0.707 0.707 0.415
```



Number 1: ΔE_f (raw) 0.646 eV per atom. Number 2: ΔE_f (raw) -1.122 eV per atom. Number 3: ΔE_f (raw) -1.030 eV per atom. Number 4: ΔE_f (raw) -1.182 eV per atom. Number 5: ΔE_f (raw) -1.313 eV per atom. Number 6: ΔE_f (raw) -1.300 eV per atom. Number 7: ΔE_f (raw) -1.860 eV per atom. Number 8: ΔE_f (raw) -1.800 eV per atom.